# 1
DFT (PBE) results for InNiBr3 after structural relaxation.

- E_tot: -2.444 eV per atom
- Fermi-level density of states: 5.1079 states/eV/atom
- Total magnetic moment: 0.197 μB per atom

Cell and atoms, written as CIF:
```
data_InNiBr3
_chemical_formula_sum 'In1 Ni1 Br3'
_cell_length_a 5.5254
_cell_length_b 5.5254
_cell_length_c 5.5254
_cell_angle_alpha 90.00
_cell_angle_beta 90.00
_cell_angle_gamma 90.00
_symmetry_space_group_name_H-M 'P m -3 m'
_symmetry_Int_Tables_number 221
_symmetry_space_group_name_Hall '-P 4 2 3'
loop_
_atom_site_label
_atom_site_fract_x
_atom_site_fract_y
_atom_site_fract_z
_atom_site_occupancy
In1 0.0000 0.0000 0.0000 1
Ni1 0.5000 0.5000 0.5000 1
Br1 0.0000 0.0000 0.5000 1
```

# 2
DFT (PBE) results for CaThZnRh after structural relaxation.

- ΔE_f: -0.401 eV/atom
- E_tot: -4.913 eV per atom
- Fermi-level density of states: 0.6101 states/eV/atom
- Total magnetic moment: 0.000 μB per atom

Cell and atoms, written as CIF:
```
data_CaThZnRh
_chemical_formula_sum 'Ca4 Th4 Zn4 Rh4'
_cell_length_a 7.1376
_cell_length_b 7.1376
_cell_length_c 7.1376
_cell_angle_alpha 90.00
_cell_angle_beta 90.00
_cell_angle_gamma 90.00
_symmetry_space_group_name_H-M 'F -4 3 m'
_symmetry_Int_Tables_number 216
_symmetry_space_group_name_Hall 'F -4 2 3'
loop_
_atom_site_label
_atom_site_fract_x
_atom_site_fract_y
_atom_site_fract_z
_atom_site_occupancy
Ca1 0.0000 0.0000 0.0000 1
Th1 0.0000 0.0000 0.5000 1
Zn1 0.2500 0.2500 0.7500 1
Rh1 0.2500 0.2500 0.2500 1
```

# 3
DFT (PBE) results for LiTmMg2 after structural relaxation.

- ΔE_f: 0.028 eV/atom
- E_tot: -2.365 eV per atom
- Fermi-level density of states: 0.7521 states/eV/atom
- Total magnetic moment: 0.000 μB per atom

Cell and atoms, written as CIF:
```
data_LiTmMg2
_chemical_formula_sum 'Li3 Tm3 Mg6'
_cell_length_a 3.2888
_cell_length_b 3.2888
_cell_length_c 31.6795
_cell_angle_alpha 90.00
_cell_angle_beta 90.00
_cell_angle_gamma 120.00
_symmetry_space_group_name_H-M 'R -3 m'
_symmetry_Int_Tables_number 166
_symmetry_space_group_name_Hall '-R 3 2"'
loop_
_atom_site_label
_atom_site_fract_x
_atom_site_fract_y
_atom_site_fract_z
_atom_site_occupancy
Li1 0.0000 0.0000 0.0000 1
Tm1 0.0000 0.0000 0.5000 1
Mg1 0.0000 0.0000 0.2552 1
```

# 4
DFT (PBE) results for TbGePt4 after structural relaxation.

- ΔE_f: -0.796 eV/atom
- E_tot: -6.364 eV per atom
- Fermi-level density of states: 0.3901 states/eV/atom
- Total magnetic moment: 0.000 μB per atom

Cell and atoms, written as CIF:
```
data_TbGePt4
_chemical_formula_sum 'Tb4 Ge4 Pt16'
_cell_length_a 3.9034
_cell_length_b 15.8052
_cell_length_c 6.8904
_cell_angle_alpha 90.00
_cell_angle_beta 90.00
_cell_angle_gamma 90.00
_symmetry_space_group_name_H-M 'C m c m'
_symmetry_Int_Tables_number 63
_symmetry_space_group_name_Hall '-C 2c 2'
loop_
_atom_site_label
_atom_site_fract_x
_atom_site_fract_y
_atom_site_fract_z
_atom_site_occupancy
Tb1 0.0000 0.0993 0.2500 1
Ge1 0.0000 0.2401 0.7500 1
Pt1 0.0000 0.0784 0.7500 1
Pt2 0.0000 0.3236 0.0451 1
Pt3 0.0000 0.5000 0.0000 1
```